Record 1
Here is a relaxed structure of InTcSn2Br from Alexandria via LeMat-Bulk. Energies are from PBE.

The uncorrected formation energy comes out at 1.46 eV/f.u. As for the space-group type: P4/mmm. Its relative energy among the computed polymorphs is 388 meV/atom. The calculation puts the theoretical density at 5.9 g cm⁻³.

Unit cell a=5.144 b=5.606 c=5.144 alpha=90.00 beta=90.00 gamma=90.00
Sites, in units of the cell vectors:
1 Tc 0.000 0.000 0.000
2 Sn 0.000 0.000 0.500
3 Sn 0.500 0.000 0.000
4 Br 0.000 0.500 0.000
5 In 0.500 0.500 0.500

Record 2
Here is a relaxed structure of Na3HfIn3O8 from Alexandria via LeMat-Bulk. Energies are from PBE.

The uncorrected formation energy comes out at -29.49 eV/f.u. As for the space-group type: R-3m. The calculation puts the theoretical density at 5.8 g cm⁻³.

Unit cell a=6.529 b=6.530 c=6.775 alpha=118.82 beta=90.00 gamma=119.99
Sites, in units of the cell vectors:
1 Na 0.000 0.000 0.000
2 Na 0.000 0.500 0.000
3 Na 0.500 0.500 0.000
4 Hf 0.000 0.000 0.500
5 In 0.500 0.000 0.500
6 In 0.500 0.500 0.500
7 In 0.000 0.500 0.500
8 O 0.265 0.530 0.295
9 O 0.735 0.470 0.705
10 O 0.776 0.552 0.298
11 O 0.224 0.448 0.702
12 O 0.776 0.022 0.298
13 O 0.224 0.978 0.702
14 O 0.246 0.022 0.298
15 O 0.754 0.978 0.702

Record 3
Here is a relaxed structure of LiThNb4N8 from Alexandria via LeMat-Bulk. Energies are from PBE.

The uncorrected formation energy comes out at -11.96 eV/f.u. As for the space-group type: R3m. The calculation puts the theoretical density at 6.5 g cm⁻³.

Unit cell a=6.448 b=6.448 c=6.346 alpha=59.46 beta=59.46 gamma=60.00
Sites, in units of the cell vectors:
1 Li 0.001 0.001 0.998
2 Th 0.393 0.393 0.820
3 Nb 0.623 0.623 0.132
4 Nb 0.005 0.487 0.503
5 Nb 0.487 0.005 0.503
6 Nb 0.005 0.005 0.503
7 N 0.232 0.813 0.722
8 N 0.813 0.232 0.722
9 N 0.232 0.232 0.722
10 N 0.241 0.241 0.276
11 N 0.731 0.249 0.290
12 N 0.249 0.731 0.290
13 N 0.731 0.731 0.290
14 N 0.756 0.756 0.731

Q: Which of these has the highest uncorrected formation energy?
A: InTcSn2Br